Compound: VSiO3
Source: Alexandria
Functional: PBE+U
Structure: optimized geometry

Output
total energy: -7.70 eV/atom
size of the total moment: 3.00 μB per formula unit

The structure in CIF format:
```
data_VSiO3
_chemical_formula_sum 'V4 Si4 O12'
_symmetry_space_group_name_H-M 'P 1 21/c 1'
_symmetry_Int_Tables_number 14
_symmetry_space_group_name_Hall '-P 2ybc'
_cell_length_a 6.4681
_cell_length_b 4.7912
_cell_length_c 9.1635
_cell_angle_alpha 90.00
_cell_angle_beta 120.48
_cell_angle_gamma 90.00
loop_
_atom_site_label
_atom_site_type_symbol
_atom_site_fract_x
_atom_site_fract_y
_atom_site_fract_z
V1 V 0.2180 0.1920 0.1270
Si1 Si 0.4046 0.7486 0.4885
O1 O 0.1566 0.7034 0.4935
O2 O 0.3366 0.0654 0.3755
O3 O 0.4482 0.5466 0.3548
```